No. 1
The following is a DFT calculation (PBE) of an optimized crystal structure of ZnIr3.

Lattice parameters (Å, degrees): 5.508 13.366 4.694 90.00 90.00 90.00
Space group Pmmn (No. 59, origin choice 2)
Symmetry-distinct sites (fractional):
Zn  0.250  0.083  0.166 [4 per cell]
Zn  0.250  0.750  0.504 [2 per cell]
Ir  0.003  0.250  0.003 [4 per cell]
Ir  0.003  0.583  0.335 [8 per cell]
Ir  0.250  0.250  0.505 [2 per cell]
Ir  0.250  0.582  0.836 [4 per cell]

Energy of formation = -1.0 kJ per mole of atoms

---

No. 2
The following is a DFT calculation (PBE) of an optimized crystal structure of Zn5Ir.

Lattice parameters (Å, degrees): 4.8610 4.8610 4.3482 90.00 90.00 120.00
Space group P6/mmm (No. 191)
Symmetry-distinct sites (fractional):
Zn  0.0000  0.5000  0.0000 [3 per cell]
Zn  0.3333  0.6667  0.5000 [2 per cell]
Ir  0.0000  0.0000  0.5000 [1 per cell]

Energy of formation = 17.3 kJ per mole of atoms

---

No. 3
The following is a DFT calculation (PBE) of an optimized crystal structure of ZnIr2.

Lattice parameters (Å, degrees): 3.825 11.564 3.907 90.00 90.00 90.00
Space group Cmcm (No. 63)
Symmetry-distinct sites (fractional):
Zn  0.000  0.084  0.250 [4 per cell]
Ir  0.000  0.244  0.750 [4 per cell]
Ir  0.000  0.418  0.250 [4 per cell]

Energy of formation = 0.2 kJ per mole of atoms

---

No. 4
The following is a DFT calculation (PBE) of an optimized crystal structure of Zn5Ir.

Lattice parameters (Å, degrees): 3.889 8.122 5.452 90.00 90.07 90.00
Space group P2_1/m (No. 11)
Symmetry-distinct sites (fractional):
Zn  0.247  0.086  0.385 [4 per cell]
Zn  0.249  0.085  0.894 [4 per cell]
Zn  0.251  0.750  0.350 [2 per cell]
Ir  0.255  0.750  0.850 [2 per cell]

Energy of formation = -10.9 kJ per mole of atoms

---

No. 5
The following is a DFT calculation (PBE) of an optimized crystal structure of ZnIr.

Lattice parameters (Å, degrees): 9.934 2.789 6.413 90.00 105.17 90.00
Space group Cm (No. 8)
Symmetry-distinct sites (fractional):
Zn  0.000  0.000  0.000 [2 per cell]
Zn  0.048  0.000  0.613 [2 per cell]
Zn  0.379  0.000  0.274 [2 per cell]
Ir  0.156  0.500  0.336 [2 per cell]
Ir  0.224  0.500  0.947 [2 per cell]
Ir  0.326  0.000  0.661 [2 per cell]

Energy of formation = -12.2 kJ per mole of atoms

---

No. 6
The following is a DFT calculation (PBE) of an optimized crystal structure of ZnIr2.

Lattice parameters (Å, degrees): 4.3806 4.3806 2.7175 90.00 90.00 120.00
Space group P6/mmm (No. 191)
Symmetry-distinct sites (fractional):
Zn  0.0000  0.0000  0.0000 [1 per cell]
Ir  0.3333  0.6667  0.5000 [2 per cell]

Energy of formation = 12.6 kJ per mole of atoms

---

No. 7
The following is a DFT calculation (PBE) of an optimized crystal structure of ZnIr2.

Lattice parameters (Å, degrees): 9.925 2.757 6.593 90.00 106.03 90.00
Space group C2/m (No. 12)
Symmetry-distinct sites (fractional):
Zn  0.024  0.000  0.311 [4 per cell]
Ir  0.138  0.500  0.016 [4 per cell]
Ir  0.205  0.500  0.643 [4 per cell]

Energy of formation = -6.9 kJ per mole of atoms

---

No. 8
The following is a DFT calculation (PBE) of an optimized crystal structure of Zn2Ir3.

Lattice parameters (Å, degrees): 9.136 13.091 4.829 90.00 90.00 90.00
Space group Fdd2 (No. 43)
Symmetry-distinct sites (fractional):
Zn  0.023  0.299  0.000 [16 per cell]
Ir  0.000  0.000  0.454 [8 per cell]
Ir  0.043  0.402  0.466 [16 per cell]

Energy of formation = 2.8 kJ per mole of atoms
Energy above the most stable polymorph in this dataset = 13.3 kJ/mol of atoms

---

No. 9
The following is a DFT calculation (PBE) of an optimized crystal structure of ZnIr3.

Lattice parameters (Å, degrees): 6.174 6.174 6.174 90.00 90.00 90.00
Space group Fm-3m (No. 225)
Symmetry-distinct sites (fractional):
Zn  0.000  0.000  0.000 [4 per cell]
Ir  0.000  0.000  0.500 [4 per cell]
Ir  0.250  0.250  0.250 [8 per cell]

Energy of formation = 26.4 kJ per mole of atoms

---

No. 10
The following is a DFT calculation (PBE) of an optimized crystal structure of ZnIr3.

Lattice parameters (Å, degrees): 5.466 2.748 7.710 90.00 90.90 90.00
Space group P2_1/m (No. 11)
Symmetry-distinct sites (fractional):
Zn  0.123  0.250  0.370 [2 per cell]
Ir  0.126  0.250  0.881 [2 per cell]
Ir  0.373  0.750  0.622 [2 per cell]
Ir  0.380  0.750  0.124 [2 per cell]

Energy of formation = -3.0 kJ per mole of atoms

---

No. 11
The following is a DFT calculation (PBE) of an optimized crystal structure of ZnIr.

Lattice parameters (Å, degrees): 2.756 2.756 7.704 90.00 90.00 90.00
Space group P4/nmm (No. 129, origin choice 2)
Symmetry-distinct sites (fractional):
Zn  0.250  0.250  0.135 [2 per cell]
Ir  0.250  0.250  0.622 [2 per cell]

Energy of formation = -3.6 kJ per mole of atoms

---

No. 12
The following is a DFT calculation (PBE) of an optimized crystal structure of ZnIr.

Lattice parameters (Å, degrees): 2.7867 2.7867 12.7406 90.00 90.00 120.00
Space group R-3m (No. 166, hexagonal axes)
Symmetry-distinct sites (fractional):
Zn  0.0000  0.0000  0.0000 [3 per cell]
Ir  0.0000  0.0000  0.5000 [3 per cell]

Energy of formation = -15.6 kJ per mole of atoms

---

| no. | total magnetization (Bohr magnetons per cell) |
| --- | --- |
| 1 | 0.00 |
| 2 | 0.00 |
| 3 | 0.00 |
| 4 | 0.00 |
| 5 | 0.00 |
| 6 | 0.00 |
| 7 | 0.00 |
| 8 | 0.00 |
| 9 | 5.44 |
| 10 | 0.00 |
| 11 | 0.00 |
| 12 | 0.00 |